No. 1
LaPr2Nd | PBE-GGA | optimized geometry

extended XYZ file:
```
4
Lattice="-1.780 -1.851 -2.685 1.555 -3.170 1.154 -8.116 -1.616 6.494" Properties=species:S:1:pos:R:3 pbc="T T T"
Pr -6.068 -1.208 4.855
Pr -2.048 -0.408 1.639
Nd -4.170 -3.319 2.482
La -0.112 -2.511 -0.765
```

Results
As for the space group: P4/mmm. The value obtained for the formation energy from the elements is 0.012 eV/atom. The energy above the lowest structure with this stoichiometry is 2.3 meV per atom.

No. 2
LaPr2Nd7 | PBE-GGA | optimized geometry

extended XYZ file:
```
10
Lattice="-1.097 0.695 6.743 -3.828 -7.231 4.542 6.369 -0.400 1.898" Properties=species:S:1:pos:R:3 pbc="T T T"
La 0.000 0.000 0.000
Pr 0.935 -4.701 5.489
Pr 0.510 -2.235 7.694
Nd -2.034 -4.229 9.390
Nd 3.478 -2.707 3.794
Nd 1.456 -5.484 9.318
Nd -0.012 -1.452 3.865
Nd -1.240 -6.753 7.085
Nd 2.684 -0.183 6.098
Nd -2.462 -3.268 5.642
```

Results
As for the space group: P-1. The value obtained for the formation energy from the elements is 0.074 eV/atom. The energy above the lowest structure with this stoichiometry is 0.0 meV per atom.

No. 3
La2Pr3Nd6 | PBE-GGA | optimized geometry

extended XYZ file:
```
11
Lattice="-2.915 5.448 -1.808 -1.735 -4.395 -6.787 -12.726 -0.694 -8.415" Properties=species:S:1:pos:R:3 pbc="T T T"
La -3.804 1.404 -5.003
La -13.572 -1.045 -12.008
Pr 0.000 0.000 0.000
Pr -7.650 -0.873 -9.600
Pr -9.727 1.231 -7.411
Nd -10.613 -2.805 -10.598
Nd -12.683 2.983 -8.817
Nd -6.763 3.163 -6.413
Nd -4.693 -2.624 -8.193
Nd -10.590 0.885 -11.007
Nd -6.787 -0.526 -6.004
```

Results
As for the space group: P-1. The value obtained for the formation energy from the elements is 0.013 eV/atom. The energy above the lowest structure with this stoichiometry is 0.0 meV per atom.

No. 4
LaPr3Nd7 | PBE-GGA | optimized geometry

extended XYZ file:
```
11
Lattice="6.549 0.038 0.464 0.458 7.835 1.131 0.021 0.057 7.929" Properties=species:S:1:pos:R:3 pbc="T T T"
La 3.514 3.965 4.762
Pr 0.382 6.486 2.310
Pr 3.275 0.019 0.232
Pr 0.097 1.406 6.750
Nd 5.279 1.898 2.511
Nd 5.276 7.282 5.932
Nd 1.904 3.356 1.224
Nd 5.124 4.574 8.300
Nd 0.239 3.946 4.530
Nd 1.752 0.648 3.591
Nd 1.749 6.031 7.013
```

Results
As for the space group: C2/m. The value obtained for the formation energy from the elements is 0.194 eV/atom.

No. 5
La2PrNd | PBE-GGA | optimized geometry

extended XYZ file:
```
4
Lattice="-0.317 3.618 -0.825 -3.197 -0.687 -1.784 -5.296 1.564 8.891" Properties=species:S:1:pos:R:3 pbc="T T T"
Pr -4.405 2.248 3.141
Nd -1.757 1.466 -1.304
La -3.978 1.175 6.678
La -1.318 0.389 2.213
```

Results
As for the space group: P4/mmm. The value obtained for the formation energy from the elements is 0.012 eV/atom. The energy above the lowest structure with this stoichiometry is 4.7 meV per atom.

No. 6
La2PrNd5 | PBE-GGA | optimized geometry

extended XYZ file:
```
16
Lattice="-1.155 3.928 -3.289 -6.241 1.293 3.736 7.208 9.460 8.767" Properties=species:S:1:pos:R:3 pbc="T T T"
La 2.365 8.202 4.772
La -2.554 6.480 4.442
La -1.233 3.471 0.385
La 1.045 11.211 8.829
Pr 3.604 4.730 4.384
Pr -3.121 0.646 1.868
Nd 0.000 0.000 0.000
Nd 0.483 5.376 6.252
Nd 2.280 7.739 8.442
Nd -1.314 3.014 4.061
Nd -4.439 3.654 5.924
Nd 5.405 7.099 6.580
Nd 4.165 10.562 6.958
Nd -4.353 4.120 2.256
Nd 0.563 5.831 2.573
Nd -0.752 8.850 6.641
```

Results
As for the space group: Pbam. The value obtained for the formation energy from the elements is 0.013 eV/atom.

No. 7
LaPr2Nd3 | PBE-GGA | optimized geometry

extended XYZ file:
```
12
Lattice="9.074 0.000 0.000 0.000 6.416 -3.704 0.000 0.000 7.409" Properties=species:S:1:pos:R:3 pbc="T T T"
La 3.031 4.277 0.000
La 6.044 2.139 3.704
Pr 0.000 0.000 0.000
Pr 0.000 3.208 1.852
Pr 0.000 3.208 -1.852
Pr 0.000 0.000 3.704
Nd 6.046 2.139 0.000
Nd 6.046 5.347 1.852
Nd 6.046 5.347 -1.852
Nd 3.028 1.069 5.556
Nd 3.028 4.277 3.704
Nd 3.028 1.069 1.852
```

Results
As for the space group: P-3m1. The value obtained for the formation energy from the elements is 0.010 eV/atom. The energy above the lowest structure with this stoichiometry is 0.0 meV per atom.

No. 8
La2Pr2Nd5 | PBE-GGA | optimized geometry

extended XYZ file:
```
9
Lattice="3.500 0.000 -0.722 -0.684 9.585 -3.314 0.554 -5.331 11.531" Properties=species:S:1:pos:R:3 pbc="T T T"
La 2.689 5.010 4.190
La 0.682 -0.756 3.305
Pr 1.820 1.220 8.826
Pr 1.550 3.034 -1.331
Nd 1.984 5.862 0.774
Nd 1.386 -1.608 6.721
Nd 2.894 1.524 5.186
Nd 0.476 2.730 2.309
Nd 0.000 0.000 0.000
```

Results
As for the space group: C2/m. The value obtained for the formation energy from the elements is 0.123 eV/atom. The energy above the lowest structure with this stoichiometry is 0.0 meV per atom.

No. 9
La5PrNd3 | PBE-GGA | optimized geometry

extended XYZ file:
```
18
Lattice="9.012 0.000 0.000 0.000 9.012 0.000 -4.506 -4.506 8.055" Properties=species:S:1:pos:R:3 pbc="T T T"
La -2.710 1.796 5.832
La 2.710 -1.796 5.832
La -1.796 -2.710 5.832
La 1.796 2.710 5.832
La 7.216 2.710 2.224
La 1.796 6.301 2.224
La 6.301 7.216 2.224
La 2.710 1.796 2.224
La 4.506 4.506 0.000
La 0.000 0.000 0.000
Pr 4.506 0.000 4.028
Pr 0.000 4.506 4.028
Nd 5.582 1.077 0.000
Nd 3.429 7.935 0.000
Nd 7.935 5.582 0.000
Nd 1.077 3.429 0.000
Nd 0.000 0.000 4.028
Nd 4.506 4.506 4.028
```

Results
As for the space group: I4/mcm. The value obtained for the formation energy from the elements is 0.226 eV/atom. The energy above the lowest structure with this stoichiometry is 0.0 meV per atom.

No. 10
LaPr4Nd | PBE-GGA | optimized geometry

extended XYZ file:
```
6
Lattice="-3.597 -4.911 -5.656 -4.646 -6.836 -0.859 -4.353 2.930 0.224" Properties=species:S:1:pos:R:3 pbc="T T T"
La 0.000 0.000 0.000
Pr -2.744 -3.910 -2.169
Pr -9.852 -4.907 -4.123
Pr -9.047 -8.326 -5.319
Pr -3.549 -0.491 -0.973
Nd -6.298 -4.408 -3.146
```

Results
As for the space group: Cmmm. The value obtained for the formation energy from the elements is 0.015 eV/atom. The energy above the lowest structure with this stoichiometry is 0.0 meV per atom.

No. 11
LaPr5Nd6 | PBE-GGA | optimized geometry

extended XYZ file:
```
12
Lattice="-2.785 -3.982 3.676 0.275 -5.214 -5.427 9.595 1.713 4.069" Properties=species:S:1:pos:R:3 pbc="T T T"
Pr 1.234 -2.900 2.844
Pr 5.729 -1.982 2.194
Pr 0.137 -2.607 -2.714
Pr 1.355 -5.501 0.124
Pr 5.850 -4.583 -0.526
Nd 4.061 -5.160 2.543
Nd 3.924 -2.549 5.258
Nd -1.187 -5.901 -2.230
Nd -1.323 -3.295 0.479
Nd 3.160 -4.934 -2.940
Nd 3.023 -2.323 -0.225
La 0.000 0.000 0.000
```

Results
As for the space group: C2/m. The value obtained for the formation energy from the elements is 0.093 eV/atom. The energy above the lowest structure with this stoichiometry is 81.1 meV per atom.

No. 12
LaPr2Nd3 | PBE-GGA | optimized geometry

extended XYZ file:
```
12
Lattice="6.917 0.000 0.000 0.000 7.740 1.291 0.000 -1.322 7.735" Properties=species:S:1:pos:R:3 pbc="T T T"
La 5.188 5.770 8.115
La 1.729 0.647 0.910
Pr 5.188 2.981 1.285
Pr 1.729 3.437 7.740
Pr 1.729 6.183 5.787
Pr 5.188 0.235 3.238
Nd 1.729 2.591 3.643
Nd 5.188 3.827 5.382
Nd 3.459 0.956 6.115
Nd 0.000 0.956 6.115
Nd 3.459 5.462 2.911
Nd 0.000 5.462 2.911
```

Results
As for the space group: Cmcm. The value obtained for the formation energy from the elements is 0.156 eV/atom. The energy above the lowest structure with this stoichiometry is 145.3 meV per atom.

Number 1: mass density 6.462 Mg/m³. Number 2: mass density 6.615 Mg/m³. Number 3: mass density 6.569 Mg/m³. Number 4: mass density 6.422 Mg/m³. Number 5: mass density 6.438 Mg/m³. Number 6: mass density 6.603 Mg/m³. Number 7: mass density 6.571 Mg/m³. Number 8: mass density 6.520 Mg/m³. Number 9: mass density 6.438 Mg/m³. Number 10: mass density 6.441 Mg/m³. Number 11: mass density 6.589 Mg/m³. Number 12: mass density 6.655 Mg/m³.